VASP calculation (PBE) on Zr6ZnRh5 after structural relaxation.

Output
total moment	0.000	μB/atom
total energy	-97.25	eV/cell
crystal system	orthorhombic
space group	Immm, No. 71
energy relative to the elements	-0.660	eV/atom

Cell: 4.651 6.640 8.136 Å, 114.09 106.61 90.00°
Atoms (fractional coordinates):
Zr 0.168 0.916 0.336
Rh 0.672 0.672 0.343
Zr 0.500 0.743 0.000
Rh 0.000 0.500 0.000
Zn 0.000 0.000 0.000
Zr 0.168 0.421 0.336
Zr 0.500 0.257 0.000
Zr 0.832 0.579 0.664
Zr 0.832 0.084 0.664
Rh 0.346 0.846 0.692
Rh 0.328 0.328 0.657
Rh 0.654 0.154 0.308